[1]
CaTlSbAu (GGA-PBE, optimized geometry); E_form (uncorrected) = -0.456 eV per atom; VASP energy = -3.398 eV/atom
1.0
4.477 0.000 0.000
0.000 4.586 0.000
-2.215 0.000 5.406
Ca Tl Sb Au
1 1 1 1
direct
0.000 0.000 0.000 Ca
0.287 0.500 0.577 Tl
0.709 0.000 0.422 Sb
0.556 0.500 0.117 Au

=====

[2]
CaTlSbAu (GGA-PBE, optimized geometry); E_form (uncorrected) = -0.396 eV per atom; VASP energy = -3.338 eV/atom
1.0
4.282 0.000 0.000
0.000 2.488 5.596
0.000 -2.488 5.596
Ca Tl Sb Au
1 1 1 1
direct
0.000 0.000 0.000 Ca
0.000 0.695 0.695 Tl
0.500 0.481 0.481 Sb
0.000 0.312 0.312 Au

=====

[3]
CaTlSbAu (GGA-PBE, optimized geometry); E_form (uncorrected) = -0.392 eV per atom; VASP energy = -3.334 eV/atom
1.0
5.038 -2.231 0.000
5.038 2.231 0.000
-2.912 0.000 5.083
Ca Tl Sb Au
1 1 1 1
direct
0.000 0.000 0.000 Ca
0.394 0.394 0.357 Tl
0.210 0.210 0.711 Sb
0.714 0.714 0.419 Au

=====

[4]
CaTlSbAu (GGA-PBE, optimized geometry); E_form (uncorrected) = -0.421 eV per atom; VASP energy = -3.363 eV/atom
1.0
4.440 0.000 0.000
-0.021 4.676 0.000
-2.201 -2.235 4.953
Ca Tl Sb Au
1 1 1 1
direct
0.000 0.000 0.000 Ca
0.768 0.269 0.538 Tl
0.533 0.534 0.065 Sb
0.242 0.747 0.487 Au

=====

[5]
CaTlSbAu (GGA-PBE, optimized geometry); E_form (uncorrected) = -0.342 eV per atom; VASP energy = -3.284 eV/atom
1.0
0.000 3.774 3.774
3.774 0.000 3.774
3.774 3.774 0.000
Ca Tl Sb Au
1 1 1 1
direct
0.000 0.000 0.000 Ca
0.500 0.500 0.500 Tl
0.750 0.750 0.750 Sb
0.250 0.250 0.250 Au

=====

[6]
CaTlSbAu (GGA-PBE, optimized geometry); E_form (uncorrected) = -0.442 eV per atom; VASP energy = -3.384 eV/atom
1.0
4.226 -2.445 0.000
4.226 2.445 0.000
-2.803 0.000 5.516
Ca Tl Sb Au
1 1 1 1
direct
0.000 0.000 0.000 Ca
0.786 0.786 0.360 Tl
0.214 0.214 0.641 Sb
0.603 0.603 0.812 Au

=====

[7]
CaTlSbAu (GGA-PBE, optimized geometry); E_form (uncorrected) = -0.393 eV per atom; VASP energy = -3.335 eV/atom
1.0
3.561 0.000 0.000
0.000 3.561 0.000
0.000 0.000 8.516
Ca Tl Sb Au
1 1 1 1
direct
0.000 0.000 0.000 Ca
0.000 0.000 0.446 Tl
0.500 0.500 0.736 Sb
0.500 0.500 0.204 Au

=====

[8]
CaTlSbAu (GGA-PBE, optimized geometry); E_form (uncorrected) = -0.420 eV per atom; VASP energy = -3.361 eV/atom
1.0
4.364 0.000 0.000
0.000 5.018 0.000
0.000 0.000 4.745
Ca Tl Sb Au
1 1 1 1
direct
0.000 0.000 0.000 Ca
0.000 0.500 0.579 Tl
0.500 0.000 0.477 Sb
0.500 0.500 0.115 Au

=====

[9]
CaTlSbAu (GGA-PBE, optimized geometry); E_form (uncorrected) = -0.426 eV per atom; VASP energy = -3.368 eV/atom
1.0
4.395 0.000 0.000
0.000 4.410 0.000
-1.711 0.000 5.740
Ca Tl Sb Au
1 1 1 1
direct
0.000 0.000 0.000 Ca
0.264 0.500 0.589 Tl
0.549 0.500 0.140 Sb
0.752 0.000 0.450 Au

=====

[10]
CaTl2Sb2Au7 (GGA-PBE, optimized geometry); E_form (uncorrected) = -0.177 eV per atom; VASP energy = -3.337 eV/atom
1.0
3.226 -3.106 0.000
3.226 3.106 0.000
-3.195 0.000 15.002
Ca Tl Sb Au
1 2 2 7
direct
0.000 0.000 0.000 Ca
0.311 0.311 0.394 Tl
0.689 0.689 0.606 Tl
0.338 0.338 0.754 Sb
0.662 0.662 0.246 Sb
0.097 0.574 0.137 Au
0.143 0.143 0.578 Au
0.426 0.903 0.863 Au
0.500 0.500 0.000 Au
0.574 0.097 0.137 Au
0.857 0.857 0.422 Au
0.903 0.426 0.863 Au

=====

[11]
CaTlSbAu (GGA-PBE, optimized geometry); E_form (uncorrected) = -0.394 eV per atom; VASP energy = -3.335 eV/atom
1.0
3.568 0.000 0.000
0.004 4.565 0.000
1.775 2.265 7.282
Ca Tl Sb Au
1 1 1 1
direct
0.000 0.000 0.000 Ca
0.722 0.218 0.560 Tl
0.399 0.399 0.204 Sb
0.596 0.597 0.805 Au

=====

[12]
CaYSbAu (GGA-PBE, optimized geometry); E_form (uncorrected) = -0.811 eV per atom; VASP energy = -4.778 eV/atom
1.0
0.000 3.716 3.716
3.716 0.000 3.716
3.716 3.716 0.000
Ca Y Sb Au
1 1 1 1
direct
0.000 0.000 0.000 Ca
0.500 0.500 0.500 Y
0.250 0.250 0.250 Sb
0.750 0.750 0.750 Au

=====

[13]
CaZn2SbAu5 (GGA-PBE, optimized geometry); E_form (uncorrected) = -0.209 eV per atom; VASP energy = -2.994 eV/atom
1.0
4.802 0.000 0.000
0.000 4.802 0.000
0.000 0.000 7.993
Ca Zn Sb Au
1 2 1 5
direct
0.000 0.000 0.000 Ca
0.500 0.500 0.348 Zn
0.500 0.500 0.652 Zn
0.000 0.000 0.500 Sb
0.000 0.500 0.235 Au
0.000 0.500 0.765 Au
0.500 0.000 0.235 Au
0.500 0.000 0.765 Au
0.500 0.500 0.000 Au

=====

[14]
Ca3Zn2SbAu9 (GGA-PBE, optimized geometry); E_form (uncorrected) = -0.268 eV per atom; VASP energy = -3.079 eV/atom
1.0
7.155 0.000 0.000
-3.578 6.196 0.000
0.000 0.000 8.471
Ca Zn Sb Au
3 2 1 9
direct
0.000 0.000 0.000 Ca
0.333 0.667 0.721 Ca
0.667 0.333 0.279 Ca
0.333 0.667 0.163 Zn
0.667 0.333 0.837 Zn
0.000 0.000 0.500 Sb
0.000 0.500 0.000 Au
0.202 0.404 0.397 Au
0.202 0.798 0.397 Au
0.404 0.202 0.603 Au
0.500 0.000 0.000 Au
0.500 0.500 0.000 Au
0.596 0.798 0.397 Au
0.798 0.202 0.603 Au
0.798 0.596 0.603 Au

=====

[15]
CaSc3Au (GGA-PBE, optimized geometry); energy of formation = 1.126 eV/atom; VASP energy = -3.729 eV/atom
1.0
5.009 0.000 0.000
0.000 5.009 0.000
0.000 0.000 5.009
Ca Sc Au
1 3 1
direct
0.000 0.000 0.000 Ca
0.000 0.000 0.500 Sc
0.000 0.500 0.000 Sc
0.500 0.000 0.000 Sc
0.500 0.500 0.500 Au

=====

[16]
Ca2ScAu (GGA-PBE, optimized geometry); energy of formation = -0.208 eV/atom; VASP energy = -3.611 eV/atom
1.0
-1.829 2.587 5.905
1.829 -2.587 5.905
1.829 2.587 -5.905
Ca Sc Au
2 1 1
direct
0.196 0.196 0.000 Ca
0.804 0.804 0.000 Ca
0.500 0.000 0.500 Sc
0.000 0.500 0.500 Au

=====

[17]
Ca2Sc2Au (GGA-PBE, optimized geometry); energy of formation = -0.086 eV/atom; VASP energy = -4.075 eV/atom
1.0
7.196 0.000 0.000
0.000 7.196 0.000
0.000 0.000 5.587
Ca Sc Au
4 4 2
direct
0.172 0.328 0.000 Ca
0.328 0.828 0.000 Ca
0.672 0.172 0.000 Ca
0.828 0.672 0.000 Ca
0.151 0.651 0.500 Sc
0.349 0.151 0.500 Sc
0.651 0.849 0.500 Sc
0.849 0.349 0.500 Sc
0.000 0.000 0.500 Au
0.500 0.500 0.500 Au

=====

[18]
CaScAu3 (GGA-PBE, optimized geometry); energy of formation = -0.695 eV/atom; VASP energy = -4.328 eV/atom
1.0
8.188 -2.454 0.000
8.188 2.454 0.000
-1.914 0.000 5.483
Ca Sc Au
2 2 6
direct
0.084 0.084 0.359 Ca
0.916 0.916 0.641 Ca
0.301 0.301 0.888 Sc
0.699 0.699 0.112 Sc
0.130 0.130 0.897 Au
0.274 0.274 0.374 Au
0.465 0.465 0.241 Au
0.535 0.535 0.759 Au
0.726 0.726 0.626 Au
0.870 0.870 0.103 Au

=====

[19]
Ca4ScAu5 (GGA-PBE, optimized geometry); energy of formation = -0.784 eV/atom; VASP energy = -3.856 eV/atom
1.0
3.579 0.000 0.000
0.000 3.579 0.000
0.000 0.000 18.042
Ca Sc Au
4 1 5
direct
0.000 0.000 0.102 Ca
0.000 0.000 0.306 Ca
0.000 0.000 0.694 Ca
0.000 0.000 0.898 Ca
0.000 0.000 0.500 Sc
0.500 0.500 0.000 Au
0.500 0.500 0.204 Au
0.500 0.500 0.417 Au
0.500 0.500 0.583 Au
0.500 0.500 0.796 Au

=====

[20]
Ca2ScAu (GGA-PBE, optimized geometry); energy of formation = -0.062 eV/atom; VASP energy = -3.465 eV/atom
1.0
0.000 3.757 3.757
3.757 0.000 3.757
3.757 3.757 0.000
Ca Sc Au
2 1 1
direct
0.250 0.250 0.250 Ca
0.750 0.750 0.750 Ca
0.000 0.000 0.000 Sc
0.500 0.500 0.500 Au

=====

[21]
CaScAu2 (GGA-PBE, optimized geometry); energy of formation = -0.747 eV/atom; VASP energy = -4.469 eV/atom
1.0
4.992 0.000 0.000
0.000 4.992 0.000
0.000 0.000 3.454
Ca Sc Au
1 1 2
direct
0.000 0.000 0.000 Ca
0.500 0.500 0.000 Sc
0.000 0.500 0.500 Au
0.500 0.000 0.500 Au

=====

[22]
CaScAu2 (GGA-PBE, optimized geometry); energy of formation = -0.468 eV/atom; VASP energy = -4.190 eV/atom
1.0
0.000 3.434 3.434
3.434 0.000 3.434
3.434 3.434 0.000
Ca Sc Au
1 1 2
direct
0.000 0.000 0.000 Ca
0.250 0.250 0.250 Sc
0.500 0.500 0.500 Au
0.750 0.750 0.750 Au

=====

[23]
CaSc3Au (GGA-PBE, optimized geometry); energy of formation = -0.032 eV/atom; VASP energy = -4.887 eV/atom
1.0
5.292 0.000 0.000
0.000 5.292 0.000
0.000 0.000 5.292
Ca Sc Au
1 3 1
direct
0.000 0.000 0.000 Ca
0.000 0.500 0.500 Sc
0.500 0.000 0.500 Sc
0.500 0.500 0.000 Sc
0.500 0.500 0.500 Au

=====

[24]
CaSc4Au5 (GGA-PBE, optimized geometry); energy of formation = -0.802 eV/atom; VASP energy = -5.174 eV/atom
1.0
3.436 0.000 0.000
0.000 3.436 0.000
0.000 0.000 17.365
Ca Sc Au
1 4 5
direct
0.000 0.000 0.000 Ca
0.000 0.000 0.207 Sc
0.000 0.000 0.403 Sc
0.000 0.000 0.597 Sc
0.000 0.000 0.793 Sc
0.500 0.500 0.120 Au
0.500 0.500 0.306 Au
0.500 0.500 0.500 Au
0.500 0.500 0.694 Au
0.500 0.500 0.880 Au

=====

[25]
Ca2ScAu (GGA-PBE, optimized geometry); energy of formation = -0.075 eV/atom; VASP energy = -3.478 eV/atom
1.0
-4.454 4.454 3.055
4.454 -4.454 3.055
4.454 4.454 -3.055
Ca Sc Au
4 2 2
direct
0.056 0.125 0.431 Ca
0.375 0.944 0.069 Ca
0.694 0.625 0.569 Ca
0.875 0.306 0.931 Ca
0.250 0.750 0.500 Sc
0.500 0.500 0.000 Sc
0.000 0.000 0.000 Au
0.750 0.250 0.500 Au

=====

[26]
Ca2ScAu (GGA-PBE, optimized geometry); energy of formation = -0.095 eV/atom; VASP energy = -3.498 eV/atom
1.0
-2.285 2.285 5.156
2.285 -2.285 5.156
2.285 2.285 -5.156
Ca Sc Au
2 1 1
direct
0.000 0.000 0.000 Ca
0.750 0.250 0.500 Ca
0.250 0.750 0.500 Sc
0.500 0.500 0.000 Au

=====

[27]
Ca2ScAu (GGA-PBE, optimized geometry); energy of formation = -0.362 eV/atom; VASP energy = -3.765 eV/atom
1.0
3.591 0.000 0.000
0.000 3.591 0.000
0.000 0.000 9.143
Ca Sc Au
2 1 1
direct
0.000 0.000 0.000 Ca
0.500 0.500 0.349 Ca
0.000 0.000 0.637 Sc
0.500 0.500 0.774 Au

=====

Total magnetization values (in μB per cell) by entry order: 0.000; 0.000; 0.000; 0.000; 0.000; 0.000; 0.000; 0.000; 0.000; 0.000; 0.000; 0.000; 0.000; 0.000; 0.000; 0.445; 2.499; 0.000; 0.000; 0.000; 0.000; 0.000; 1.531; 0.000; 0.002; 0.487; 0.000.
DOS at the Fermi energy values (in states/eV per cell) by entry order: 0.91; 2.03; 1.96; 1.51; 3.99; 1.68; 1.88; 1.85; 1.60; 4.58; 0.88; 3.01; 3.04; 7.19; 5.28; 4.77; 15.37; 6.19; 6.70; 4.04; 3.12; 3.82; 7.52; 5.28; 10.84; 5.87; 3.61.